# GGA+U TmNi2BiO6, optimized geometry
# E: -5.9687 eV per atom
# Volume: 12.2 Å³ per atom
# Magnetization: 0.40 μB per atom
data_TmNi2BiO6
_chemical_formula_sum 'Tm3 Ni6 Bi3 O18'
_cell_length_a 5.4059
_cell_length_b 5.4059
_cell_length_c 14.5157
_cell_angle_alpha 90.00
_cell_angle_beta 90.00
_cell_angle_gamma 120.00
_symmetry_space_group_name_H-M 'R 3'
_symmetry_Int_Tables_number 146
_symmetry_space_group_name_Hall 'R 3'
loop_
_atom_site_label
_atom_site_fract_x
_atom_site_fract_y
_atom_site_fract_z
Tm1 0.0000 0.0000 0.0000
Ni1 0.0000 0.0000 0.2884
Ni2 0.0000 0.0000 0.7899
Bi1 0.0000 0.0000 0.4924
O1 0.0122 0.3099 0.8880
O2 0.0252 0.6401 0.0570